[1]
This record from the Alexandria database describes YN2OF at its PBEsol-relaxed geometry. The functional is SCAN.

## Properties
formation energy without anion corrections	-0.049	eV/atom
energy	-11.289	eV/atom
space group	No. 123
density of states at the Fermi level	1.5	states/eV/f.u.
calculated density	5.0	g/cm3

extended XYZ file:
```
5
Lattice="3.471 0.000 0.000 0.000 3.471 0.000 0.000 0.000 4.196" Properties=species:S:1:pos:R:3 pbc="T T T"
Y 0.000 0.000 0.000
N 0.000 1.736 2.098
N 1.736 0.000 2.098
O 1.736 1.736 2.098
F 1.736 1.736 0.000
```

***

[2]
This record from the Alexandria database describes NbReTe2P at its PBEsol-relaxed geometry. The functional is SCAN.

## Properties
formation energy without anion corrections	1.352	eV/atom
energy	-36.473	eV/atom
space group	No. 123
density of states at the Fermi level	3.0	states/eV/f.u.
calculated density	7.0	g/cm3

extended XYZ file:
```
5
Lattice="5.369 0.000 0.000 0.000 5.369 0.000 0.000 0.000 4.621" Properties=species:S:1:pos:R:3 pbc="T T T"
Nb 0.000 0.000 0.000
Re 2.685 2.685 2.310
Te 0.000 2.685 0.000
Te 2.685 0.000 0.000
P 0.000 0.000 2.310
```